The following is a DFT calculation (PBE) of crystalline Li3HfNi at its relaxed geometry.

```
Li3HfNi
1.0
5.093 0.000 0.000
0.000 5.093 0.000
0.000 0.000 5.093
Li Ni Hf
3 1 1
direct
0.500 0.000 0.000
0.000 0.500 0.000
0.000 0.000 0.500
0.500 0.500 0.500
0.000 0.000 0.000
```

Calculated values
SG: Pm-3m (221)
ΔE_f in eV per atom: 1.74

=====

The following is a DFT calculation (PBE) of crystalline ZrHgMo2 at its relaxed geometry.

```
ZrHgMo2
1.0
10.224 -0.032 -0.019
9.813 2.871 -0.019
9.813 1.390 2.512
Mo Zr Hg
2 1 1
direct
0.002 0.002 0.002
0.498 0.498 0.498
0.250 0.250 0.250
0.750 0.750 0.750
```

Calculated values
SG: R-3m (166)
ΔE_f in eV per atom: 0.55

=====

The following is a DFT calculation (PBE) of crystalline Cd3GaNi at its relaxed geometry.

```
Cd3GaNi
1.0
-0.838 -4.901 -0.299
3.731 -0.439 -3.271
3.192 -0.774 3.745
Cd Ni Ga
3 1 1
direct
0.500 0.000 0.000
0.000 0.000 0.500
0.000 0.500 0.000
0.000 0.000 0.000
0.500 0.500 0.500
```

Calculated values
SG: Pm-3m (221)
ΔE_f in eV per atom: 0.24

=====

The following is a DFT calculation (PBE) of crystalline LiCr2Mo at its relaxed geometry.

```
LiCr2Mo
1.0
-2.511 -0.163 4.201
-4.851 -0.538 -0.394
4.352 -1.991 -1.038
Cr Mo Li
2 1 1
direct
0.018 0.018 0.000
0.229 0.729 0.500
0.762 0.262 0.500
0.491 0.491 0.000
```

Calculated values
SG: Imm2 (44)
ΔE_f in eV per atom: 0.43

=====

The following is a DFT calculation (PBE) of crystalline LaZrTeI2 at its relaxed geometry.

```
LaZrTeI2
1.0
-5.499 1.111 -0.256
-0.748 -4.465 -3.323
-0.869 -3.251 4.564
Te I La Zr
1 2 1 1
direct
0.000 0.000 0.500
0.000 0.500 0.000
0.500 0.000 0.000
0.500 0.500 0.500
0.000 0.000 0.000
```

Calculated values
SG: P4/mmm (123)
Energy relative to the elements, uncorrected in kJ per mole of atoms: -42.4

=====

The following is a DFT calculation (PBE) of crystalline Bi2Rh2Au at its relaxed geometry.

```
Bi2Rh2Au
1.0
-1.959 -1.902 2.773
-0.371 -3.068 -2.366
5.305 -5.302 2.843
Rh Bi Au
2 2 1
direct
0.250 0.750 0.500
0.750 0.250 0.500
0.380 0.380 0.240
0.620 0.620 0.760
0.000 0.000 0.000
```

Calculated values
SG: I4/mmm (139)
ΔE_f in eV per atom: 0.10

=====

The following is a DFT calculation (PBE) of crystalline Ba3Tb3NdTe8 at its relaxed geometry.

```
Ba3Tb3NdTe8
1.0
9.054 0.002 0.000
-4.526 7.837 -0.027
-0.001 -5.193 7.995
Ba Tb Te Nd
3 3 8 1
direct
0.000 0.500 0.000
0.500 0.500 0.000
0.000 0.000 0.000
0.500 0.000 0.500
0.000 0.500 0.500
0.500 0.500 0.500
0.754 0.508 0.279
0.739 0.478 0.717
0.261 0.522 0.283
0.729 0.975 0.721
0.754 0.025 0.279
0.246 0.975 0.721
0.246 0.492 0.721
0.271 0.025 0.279
0.000 0.000 0.500
```

Calculated values
SG: C2/m (12)
Energy relative to the elements, uncorrected in kJ per mole of atoms: -149.3

=====

The following is a DFT calculation (PBE) of crystalline TcHIrPd2 at its relaxed geometry.

```
TcHIrPd2
1.0
-0.056 0.914 -3.813
-3.921 -0.001 0.057
0.013 3.909 0.937
Tc Ir Pd H
1 1 2 1
direct
0.000 0.000 0.500
0.500 0.500 0.500
0.500 0.000 0.000
0.000 0.500 0.000
0.000 0.000 0.000
```

Calculated values
Total energy in eV per atom: -6.4007
SG: P4/mmm (123)

=====

The following is a DFT calculation (PBE) of crystalline Nb3BW at its relaxed geometry.

```
Nb3BW
1.0
-3.396 0.879 -2.594
0.946 -3.501 -2.425
-2.571 -2.450 2.534
B W Nb
1 1 3
direct
0.000 0.000 0.000
0.500 0.500 0.500
0.000 0.500 0.000
0.000 0.000 0.500
0.500 0.000 0.000
```

Calculated values
SG: Pm-3m (221)
ΔE_f in eV per atom: 0.24

=====

The following is a DFT calculation (PBE) of crystalline Tb3Sm5Y3 at its relaxed geometry.

```
Tb3Sm5Y3
1.0
3.580 0.625 0.000
1.870 10.423 -5.178
0.000 0.000 10.356
Sm Tb Y
5 3 3
direct
0.500 0.000 0.366
0.320 0.681 0.678
0.676 0.323 0.596
0.680 0.319 0.997
0.324 0.677 0.273
0.952 0.549 0.910
0.000 0.000 0.639
0.048 0.451 0.361
0.169 0.831 0.051
0.500 0.000 0.909
0.830 0.169 0.220
```

Calculated values
SG: Amm2 (38)
ΔE_f in eV per atom: 0.14

=====

The following is a DFT calculation (PBE) of crystalline Os2AuSe at its relaxed geometry.

```
Os2AuSe
1.0
2.850 0.000 0.000
0.000 2.805 0.218
0.000 2.149 8.950
Os Au Se
2 1 1
direct
0.000 0.097 0.029
0.500 0.408 0.217
0.500 0.842 0.786
0.000 0.153 0.469
```

Calculated values
SG: Pm (6)
Energy relative to the elements, uncorrected in kJ per mole of atoms: 34.6

=====

The following is a DFT calculation (PBE) of crystalline Pr2NdAl3 at its relaxed geometry.

```
Pr2NdAl3
1.0
5.293 0.000 0.021
2.647 7.945 0.010
-0.029 0.000 7.522
Nd Al Pr
2 6 4
direct
0.667 0.666 0.000
0.333 0.334 0.000
0.167 0.665 0.752
0.167 0.665 0.248
0.500 0.000 0.248
0.500 0.000 0.752
0.833 0.335 0.248
0.833 0.335 0.752
0.666 0.668 0.500
0.000 0.000 0.500
0.000 0.000 0.000
0.334 0.332 0.500
```

Calculated values
SG: Cmmm (65)
ΔE_f in eV per atom: -0.34

=====

The following is a DFT calculation (PBE) of crystalline Cs2CdH at its relaxed geometry.

```
Cs2CdH
1.0
-1.288 2.910 3.275
-4.311 1.497 0.158
-4.233 -5.941 6.798
Cs Cd H
2 1 1
direct
0.730 0.730 0.811
0.270 0.270 0.189
0.500 0.500 0.500
0.000 0.000 0.000
```

Calculated values
Total energy in eV per atom: -1.4910
SG: R-3m (166)

=====

The following is a DFT calculation (PBE) of crystalline Ac2ZnSn4Ir3 at its relaxed geometry.

```
Ac2ZnSn4Ir3
1.0
-0.999 4.510 -0.471
-0.973 0.258 4.533
10.398 2.521 2.089
Ir Ac Sn Zn
3 2 4 1
direct
0.000 0.500 0.127
0.000 0.000 0.500
0.500 0.000 0.873
0.000 0.500 0.748
0.500 0.000 0.252
0.000 0.500 0.369
0.500 0.000 0.631
0.000 0.000 0.000
0.500 0.500 0.000
0.500 0.500 0.500
```

Calculated values
SG: P-4m2 (115)
ΔE_f in eV per atom: -0.55

=====

The following is a DFT calculation (PBE) of crystalline AcDy2RhO8 at its relaxed geometry.

```
AcDy2RhO8
1.0
-4.610 -2.010 0.630
1.529 -2.141 4.325
-2.027 5.776 3.575
O Dy Ac Rh
8 2 1 1
direct
0.673 0.674 0.500
0.723 0.724 0.000
0.327 0.326 0.500
0.186 0.813 0.800
0.277 0.276 0.000
0.813 0.187 0.800
0.814 0.187 0.200
0.187 0.813 0.200
0.500 0.500 0.237
0.500 0.500 0.763
0.000 0.000 0.500
0.000 0.000 0.000
```

Calculated values
SG: P2/m (10)
Energy relative to the elements, uncorrected in kJ per mole of atoms: -212.0

=====

The following is a DFT calculation (PBE) of crystalline SnGe3Pt at its relaxed geometry.

```
SnGe3Pt
1.0
4.935 0.000 0.000
0.000 4.935 0.000
0.000 0.000 4.935
Ge Pt Sn
3 1 1
direct
0.000 0.000 0.500
0.500 0.000 0.000
0.000 0.500 0.000
0.000 0.000 0.000
0.500 0.500 0.500
```

Calculated values
SG: Pm-3m (221)
ΔE_f in eV per atom: 0.26

=====

The following is a DFT calculation (PBE) of crystalline Pm3Tm4Cd2 at its relaxed geometry.

```
Pm3Tm4Cd2
1.0
-1.113 -3.363 3.344
-3.312 -4.376 -5.503
7.656 -0.181 -1.182
Pm Cd Tm
3 2 4
direct
0.000 0.000 0.000
0.886 0.334 0.772
0.114 0.666 0.228
0.667 0.002 0.334
0.333 0.998 0.666
0.442 0.665 0.883
0.222 0.321 0.443
0.778 0.679 0.557
0.558 0.335 0.117
```

Calculated values
SG: C2/m (12)
ΔE_f in eV per atom: -0.07

=====

The following is a DFT calculation (PBE) of crystalline Ag7ClF12 at its relaxed geometry.

```
Ag7ClF12
1.0
-1.768 -4.247 -0.561
8.942 -1.712 -2.464
5.363 -4.730 6.150
F Ag Cl
12 7 1
direct
0.799 0.299 0.808
0.499 0.893 0.299
0.394 0.192 0.107
0.787 0.472 0.133
0.606 0.808 0.893
0.315 0.394 0.472
0.501 0.107 0.701
0.079 0.867 0.606
0.201 0.701 0.192
0.685 0.606 0.528
0.921 0.133 0.394
0.213 0.528 0.867
0.815 0.876 0.432
0.247 0.432 0.692
0.939 0.692 0.876
0.500 0.000 0.000
0.185 0.124 0.568
0.061 0.308 0.124
0.753 0.568 0.308
0.000 0.000 0.000
```

Calculated values
SG: R-3 (148)
Energy relative to the elements, uncorrected in kJ per mole of atoms: -90.2

=====

The following is a DFT calculation (PBE) of crystalline TaNbP2Cl at its relaxed geometry.

```
TaNbP2Cl
1.0
4.858 0.000 0.000
0.000 4.858 0.000
0.000 0.000 4.624
Nb Cl P Ta
1 1 2 1
direct
0.000 0.000 0.000
0.000 0.000 0.500
0.000 0.500 0.000
0.500 0.000 0.000
0.500 0.500 0.500
```

Calculated values
SG: P4/mmm (123)
Energy relative to the elements, uncorrected in kJ per mole of atoms: 78.5

=====

The following is a DFT calculation (PBE) of crystalline SnPHS at its relaxed geometry.

```
SnPHS
1.0
-0.600 2.412 -3.102
-3.127 -1.542 1.910
1.576 5.025 5.412
P Sn H S
1 1 1 1
direct
0.160 0.518 0.313
0.407 0.120 0.160
0.368 0.801 0.799
0.187 0.008 0.825
```

Calculated values
Total energy in eV per atom: -4.3027
SG: P1 (1)